First-principles (PBE with a Hubbard U) data for a relaxed SrV2OsO8 crystal, as listed in Alexandria via LeMat-Bulk.

```
SrV2OsO8
1.0
-0.8501 3.4803 4.3064
2.4319 -4.9733 0.8558
6.1220 2.8107 -1.0630
V Os O Sr
2 1 8 1
Cartesian
1.8163 1.3843 2.8832 V
5.8875 -0.0666 1.2160 V
0.0000 0.0000 0.0000 Os
0.7653 2.6372 3.5676 O
4.3844 -0.7568 1.4770 O
6.9385 -1.3195 0.5316 O
6.4942 0.4996 2.7826 O
5.6674 1.2800 0.0843 O
2.0365 0.0377 4.0149 O
1.2097 0.8181 1.3167 O
3.3195 2.0745 2.6222 O
3.0610 1.4054 -0.5315 Sr
```

As for the energy: -0.5484 Ry per atom. As for the mass density: 4.55 g/cm³. As for the magnetization: 2.02 μB per formula unit. The space group is No. 164. The density of states at the Fermi level comes out at 0.277 states/eV per atom.